# Na4TlO | Alexandria | PBE-GGA | relaxed
data_Na4TlO
_cell_length_a 16.290
_cell_length_b 6.116
_cell_length_c 6.165
_cell_angle_alpha 90.00
_cell_angle_beta 109.44
_cell_angle_gamma 90.00
_symmetry_space_group_name_H-M 'C 1 2/c 1'
_symmetry_Int_Tables_number 15
loop_
_symmetry_equiv_pos_as_xyz
'x,y,z'
'-x,-y,-z'
'-x,y,-z+1/2'
'x,-y,z+1/2'
'x+1/2,y+1/2,z'
'-x+1/2,-y+1/2,-z'
'-x+1/2,y+1/2,-z+1/2'
'x+1/2,-y+1/2,z+1/2'
loop_
_atom_site_label
_atom_site_fract_x
_atom_site_fract_y
_atom_site_fract_z
_atom_site_occupancy
Na1 0.107 0.137 0.396 1
Na2 0.205 0.466 0.179 1
Tl1 0.000 0.366 0.750 1
O1 0.250 0.250 0.500 1
# M_tot, μB per atom: 0.000
# DFT total energy, eV/atom: -2.7188

=====

# ScFeH3 | Alexandria | PBE-GGA | relaxed
data_ScFeH3
_cell_length_a 3.347
_cell_length_b 3.347
_cell_length_c 3.347
_cell_angle_alpha 90.00
_cell_angle_beta 90.00
_cell_angle_gamma 90.00
_symmetry_space_group_name_H-M 'P m -3 m'
_symmetry_Int_Tables_number 221
_symmetry_space_group_name_Hall '-P 4 2 3'
loop_
_atom_site_label
_atom_site_fract_x
_atom_site_fract_y
_atom_site_fract_z
_atom_site_occupancy
Sc1 0.000 0.000 0.000 1
Fe1 0.500 0.500 0.500 1
H1 0.000 0.500 0.500 1
# M_tot, μB per atom: 0.170
# DFT total energy, eV/atom: -5.3558

=====

# LaRu2 | Alexandria | PBE-GGA | relaxed
data_LaRu2
_cell_length_a 4.1998
_cell_length_b 4.1998
_cell_length_c 4.4987
_cell_angle_alpha 90.00
_cell_angle_beta 90.00
_cell_angle_gamma 120.00
_symmetry_space_group_name_H-M 'P 6/m m m'
_symmetry_Int_Tables_number 191
_symmetry_space_group_name_Hall '-P 6 2'
loop_
_atom_site_label
_atom_site_fract_x
_atom_site_fract_y
_atom_site_fract_z
_atom_site_occupancy
La1 0.0000 0.0000 0.0000 1
Ru1 0.3333 0.6667 0.5000 1
# M_tot, μB per atom: 0.000
# DFT total energy, eV/atom: -7.8117
# E_form, eV per atom: 0.01